Material: MnFeO4
Method: DFT, PBE+U
State: optimized geometry

Results
The calculation puts the total energy at -6.6334 eV per atom. As for the density of states at the Fermi level: 4.3 states/eV/f.u.

a b c (Å): 4.4188 5.5858 4.9510
angles (deg): 90.00 91.08 90.00
Space group P2/c (No. 13)
Asymmetric unit:
1 Mn 0.0000 0.1443 0.2500 (multiplicity 2)
2 Fe 0.5000 0.3431 0.7500 (multiplicity 2)
3 O 0.2297 0.1092 0.9260 (multiplicity 4)
4 O 0.2622 0.3805 0.4116 (multiplicity 4)